[1]
# TmGaHgPt PBE relaxed
# Calculated density in g cm⁻³: 13.26
# Total moment in μB per cell: 0.00
# DFT formation energy in eV per atom: -0.594
# Space-group type: F-43m
data_TmGaHgPt
_chemical_formula_sum 'Tm1 Ga1 Hg1 Pt1'
_cell_length_a 4.8252
_cell_length_b 4.8252
_cell_length_c 4.8252
_cell_angle_alpha 60.00
_cell_angle_beta 60.00
_cell_angle_gamma 60.00
_symmetry_space_group_name_H-M 'P 1'
_symmetry_Int_Tables_number 1
_symmetry_space_group_name_Hall 'P 1'
loop_
_atom_site_label
_atom_site_type_symbol
_atom_site_fract_x
_atom_site_fract_y
_atom_site_fract_z
_atom_site_occupancy
Ga1 Ga 0.7500 0.7500 0.7500 1
Tm1 Tm 0.2500 0.2500 0.2500 1
Hg1 Hg 0.5000 0.5000 0.5000 1
Pt1 Pt 0.0000 0.0000 0.0000 1


[2]
# ZnGaHg2Pt PBE relaxed
# Calculated density in g cm⁻³: 8.96
# Total moment in μB per cell: 0.00
# DFT formation energy in eV per atom: 0.113
# Space-group type: P4/mmm
data_ZnGaHg2Pt
_chemical_formula_sum 'Zn1 Ga1 Hg2 Pt1'
_cell_length_a 5.2995
_cell_length_b 4.8286
_cell_length_c 5.2995
_cell_angle_alpha 90.00
_cell_angle_beta 90.00
_cell_angle_gamma 90.00
_symmetry_space_group_name_H-M 'P 1'
_symmetry_Int_Tables_number 1
_symmetry_space_group_name_Hall 'P 1'
loop_
_atom_site_label
_atom_site_type_symbol
_atom_site_fract_x
_atom_site_fract_y
_atom_site_fract_z
_atom_site_occupancy
Zn1 Zn 0.0000 0.5000 0.0000 1
Ga1 Ga 0.5000 0.5000 0.5000 1
Hg1 Hg 0.0000 0.0000 0.5000 1
Hg2 Hg 0.5000 0.0000 0.0000 1
Pt1 Pt 0.0000 0.0000 0.0000 1


[3]
# Pu3GaHg PBE relaxed
# Calculated density in g cm⁻³: 13.32
# Total moment in μB per cell: 69.34
# DFT formation energy in eV per atom: -0.009
# Space-group type: Pnnm
data_Pu3GaHg
_chemical_formula_sum 'Pu12 Ga4 Hg4'
_cell_length_a 8.0416
_cell_length_b 8.0562
_cell_length_c 7.7145
_cell_angle_alpha 90.00
_cell_angle_beta 90.00
_cell_angle_gamma 90.00
_symmetry_space_group_name_H-M 'P 1'
_symmetry_Int_Tables_number 1
_symmetry_space_group_name_Hall 'P 1'
loop_
_atom_site_label
_atom_site_type_symbol
_atom_site_fract_x
_atom_site_fract_y
_atom_site_fract_z
_atom_site_occupancy
Pu1 Pu 0.6293 0.1300 0.2945 1
Pu2 Pu 0.1293 0.3700 0.7945 1
Pu3 Pu 0.5000 0.5000 0.2500 1
Pu4 Pu 0.0000 0.0000 0.2500 1
Pu5 Pu 0.5000 0.5000 0.7500 1
Pu6 Pu 0.3707 0.8700 0.7055 1
Pu7 Pu 0.3707 0.8700 0.2945 1
Pu8 Pu 0.6293 0.1300 0.7055 1
Pu9 Pu 0.8707 0.6300 0.2055 1
Pu10 Pu 0.0000 0.0000 0.7500 1
Pu11 Pu 0.8706 0.6300 0.7945 1
Pu12 Pu 0.1294 0.3700 0.2055 1
Ga1 Ga 0.3041 0.1943 0.5000 1
Ga2 Ga 0.6959 0.8057 0.5000 1
Ga3 Ga 0.8041 0.3057 0.0000 1
Ga4 Ga 0.1959 0.6943 0.0000 1
Hg1 Hg 0.1411 0.6398 0.5000 1
Hg2 Hg 0.3589 0.1398 0.0000 1
Hg3 Hg 0.8589 0.3602 0.5000 1
Hg4 Hg 0.6411 0.8602 0.0000 1


[4]
# PuGaHg2 PBE relaxed
# Calculated density in g cm⁻³: 12.47
# Total moment in μB per cell: 5.95
# DFT formation energy in eV per atom: -0.069
# Space-group type: P4/mmm
data_PuGaHg2
_chemical_formula_sum 'Pu1 Ga1 Hg2'
_cell_length_a 3.5637
_cell_length_b 3.5637
_cell_length_c 7.4979
_cell_angle_alpha 90.00
_cell_angle_beta 90.00
_cell_angle_gamma 90.00
_symmetry_space_group_name_H-M 'P 1'
_symmetry_Int_Tables_number 1
_symmetry_space_group_name_Hall 'P 1'
loop_
_atom_site_label
_atom_site_type_symbol
_atom_site_fract_x
_atom_site_fract_y
_atom_site_fract_z
_atom_site_occupancy
Hg1 Hg 0.0000 0.0000 0.7755 1
Hg2 Hg 0.0000 0.0000 0.2245 1
Ga1 Ga 0.5000 0.5000 0.0000 1
Pu1 Pu 0.5000 0.5000 0.5000 1


[5]
# PuGaHg2 PBE relaxed
# Calculated density in g cm⁻³: 12.84
# Total moment in μB per cell: 5.67
# DFT formation energy in eV per atom: -0.113
# Space-group type: F-43m
data_PuGaHg2
_chemical_formula_sum 'Pu1 Ga1 Hg2'
_cell_length_a 5.0762
_cell_length_b 5.0762
_cell_length_c 5.0749
_cell_angle_alpha 59.99
_cell_angle_beta 59.99
_cell_angle_gamma 60.00
_symmetry_space_group_name_H-M 'P 1'
_symmetry_Int_Tables_number 1
_symmetry_space_group_name_Hall 'P 1'
loop_
_atom_site_label
_atom_site_type_symbol
_atom_site_fract_x
_atom_site_fract_y
_atom_site_fract_z
_atom_site_occupancy
Pu1 Pu 0.5001 0.5001 0.4998 1
Ga1 Ga 0.7500 0.7500 0.7499 1
Hg1 Hg 0.9999 0.9999 0.0003 1
Hg2 Hg 0.2500 0.2500 0.2500 1


[6]
# PuGaHg2 PBE relaxed
# Calculated density in g cm⁻³: 12.56
# Total moment in μB per cell: 11.76
# DFT formation energy in eV per atom: -0.099
# Space-group type: I4/mmm
data_PuGaHg2
_chemical_formula_sum 'Pu2 Ga2 Hg4'
_cell_length_a 4.8884
_cell_length_b 4.8884
_cell_length_c 8.6327
_cell_angle_alpha 106.45
_cell_angle_beta 106.45
_cell_angle_gamma 90.00
_symmetry_space_group_name_H-M 'P 1'
_symmetry_Int_Tables_number 1
_symmetry_space_group_name_Hall 'P 1'
loop_
_atom_site_label
_atom_site_type_symbol
_atom_site_fract_x
_atom_site_fract_y
_atom_site_fract_z
_atom_site_occupancy
Pu1 Pu 0.1379 0.1379 0.2757 1
Pu2 Pu 0.8621 0.8621 0.7243 1
Ga1 Ga 0.2500 0.7500 0.5000 1
Ga2 Ga 0.7500 0.2500 0.5000 1
Hg1 Hg 0.0000 0.5000 0.0000 1
Hg2 Hg 0.5000 0.0000 0.0000 1
Hg3 Hg 0.3572 0.3572 0.7145 1
Hg4 Hg 0.6428 0.6428 0.2855 1


[7]
# PuGa2Hg PBE relaxed
# Calculated density in g cm⁻³: 11.33
# Total moment in μB per cell: 5.75
# DFT formation energy in eV per atom: -0.147
# Energy above the lowest structure with this stoichiometry in eV/atom: 0.064
# Space-group type: Fm-3m
data_PuGa2Hg
_chemical_formula_sum 'Pu1 Ga2 Hg1'
_cell_length_a 4.9471
_cell_length_b 4.9471
_cell_length_c 4.9471
_cell_angle_alpha 60.00
_cell_angle_beta 60.00
_cell_angle_gamma 60.00
_symmetry_space_group_name_H-M 'P 1'
_symmetry_Int_Tables_number 1
_symmetry_space_group_name_Hall 'P 1'
loop_
_atom_site_label
_atom_site_type_symbol
_atom_site_fract_x
_atom_site_fract_y
_atom_site_fract_z
_atom_site_occupancy
Hg1 Hg 0.5000 0.5000 0.5000 1
Ga1 Ga 0.2500 0.2500 0.2500 1
Ga2 Ga 0.7500 0.7500 0.7500 1
Pu1 Pu 0.0000 0.0000 0.0000 1


[8]
# PuGaHg2 PBE relaxed
# Calculated density in g cm⁻³: 12.35
# Total moment in μB per cell: 6.37
# DFT formation energy in eV per atom: -0.109
# Space-group type: P4/mmm
data_PuGaHg2
_chemical_formula_sum 'Pu1 Ga1 Hg2'
_cell_length_a 4.8463
_cell_length_b 4.4530
_cell_length_c 4.4530
_cell_angle_alpha 90.00
_cell_angle_beta 90.00
_cell_angle_gamma 90.00
_symmetry_space_group_name_H-M 'P 1'
_symmetry_Int_Tables_number 1
_symmetry_space_group_name_Hall 'P 1'
loop_
_atom_site_label
_atom_site_type_symbol
_atom_site_fract_x
_atom_site_fract_y
_atom_site_fract_z
_atom_site_occupancy
Hg1 Hg 0.0000 0.0000 0.5000 1
Hg2 Hg 0.0000 0.5000 0.0000 1
Ga1 Ga 0.5000 0.5000 0.5000 1
Pu1 Pu 0.5000 0.0000 0.0000 1


Number 1: uncorrected energy -16.22 eV/cell. Number 2: uncorrected energy -10.38 eV/cell. Number 3: uncorrected energy -185.47 eV/cell. Number 4: uncorrected energy -18.24 eV/cell. Number 5: uncorrected energy -18.41 eV/cell. Number 6: uncorrected energy -36.72 eV/cell. Number 7: uncorrected energy -21.28 eV/cell. Number 8: uncorrected energy -18.40 eV/cell.